A plane-wave DFT calculation with GGA+U was carried out for crystalline MnPO4 at its relaxed geometry.

Lattice parameters (Å, degrees): 5.982 4.741 4.632 90.00 90.00 90.00
Space group Pmn2_1 (No. 31)
Inequivalent atoms, fractional coordinates:
Mn 0.000 0.066 0.000
P 0.000 0.658 0.431
O 0.000 0.353 0.329
O 0.000 0.693 0.761
O 0.204 0.825 0.298

calculated total energy: -7.331 eV/atom
theoretical density: 3.791 g/cm³